[1]
Compound: BO
Source: Alexandria
Functional: PBE
Structure: relaxed

Results
The value obtained for the formation energy without anion corrections is -1.8056 eV per atom. The final energy comes out at -7.623 eV per atom. The volume is 56 Å³/cell. The value obtained for the energy above the most stable polymorph in this dataset is 0.021 eV/atom.

Cell: 2.3627 5.0343 5.0791 Å, 76.29 76.63 76.50°
With the nearest neighbours (Å) after each atom.
Fractional coordinates of all 4 atoms:
B1 0.1134 0.3861 0.3858  2 O 1.39
B2 0.8866 0.6139 0.6142  2 O 1.39
O1 0.2919 0.7090 0.7095  2 B 1.39
O2 0.7081 0.2910 0.2905  2 B 1.39



[2]
Compound: B2O
Source: Alexandria
Functional: PBE
Structure: relaxed

Results
The value obtained for the formation energy without anion corrections is -0.4727 eV per atom. The final energy comes out at -6.577 eV per atom. The volume is 62 Å³/cell.

Cell: 2.5648 2.5648 10.8533 Å, 90.00 90.00 120.00°
With the nearest neighbours (Å) after each atom.
Fractional coordinates of all 6 atoms:
B1 0.0000 0.0000 0.0805  3 O 1.58, 1 B 1.75
B2 0.0000 0.0000 0.9195  3 O 1.58, 1 B 1.75
B3 0.3333 0.6667 0.4752  3 B 1.58
B4 0.6667 0.3333 0.5248  3 B 1.58
O1 0.3333 0.6667 0.1316  3 B 1.58
O2 0.6667 0.3333 0.8684  3 B 1.58



[3]
Compound: BO
Source: Alexandria
Functional: PBE
Structure: relaxed

Results
The value obtained for the formation energy without anion corrections is 0.3057 eV per atom. The final energy comes out at -5.512 eV per atom. The volume is 106 Å³/cell. The value obtained for the energy above the most stable polymorph in this dataset is 2.132 eV/atom.

Cell: 4.7316 4.7316 4.7316 Å, 90.00 90.00 90.00°
With the nearest neighbours (Å) after each atom.
Fractional coordinates of all 12 atoms:
B1 0.0000 0.2500 0.5000  4 O 1.67
B2 0.0000 0.7500 0.5000  4 O 1.67
B3 0.2500 0.5000 0.0000  4 O 1.67
B4 0.5000 0.0000 0.2500  4 O 1.67
B5 0.5000 0.0000 0.7500  4 O 1.67
B6 0.7500 0.5000 0.0000  4 O 1.67
O1 0.0000 0.5000 0.2500  4 B 1.67
O2 0.0000 0.5000 0.7500  4 B 1.67
O3 0.2500 0.0000 0.5000  4 B 1.67
O4 0.5000 0.2500 0.0000  4 B 1.67
O5 0.5000 0.7500 0.0000  4 B 1.67
O6 0.7500 0.0000 0.5000  4 B 1.67



[4]
Compound: BO
Source: Alexandria
Functional: PBE
Structure: relaxed

Results
The value obtained for the formation energy without anion corrections is -0.7272 eV per atom. The final energy comes out at -6.545 eV per atom. The volume is 23 Å³/cell. The value obtained for the energy above the most stable polymorph in this dataset is 1.099 eV/atom.

Cell: 2.4511 2.5809 3.6963 Å, 85.77 88.80 89.97°
With the nearest neighbours (Å) after each atom.
Fractional coordinates of all 2 atoms:
B1 0.0000 0.0000 0.0000  2 O 1.36
O1 0.4948 0.9839 0.1604  2 B 1.36



Which of these has the highest formation energy without anion corrections? number 3